# 1
A geometry-optimized Tb5Ho6Tm structure, computed with PBE.

The calculation puts the energy above the most stable polymorph in this dataset at 100 meV per atom. The value obtained for the formation energy from the elements is 0.117 eV/atom. For the volume, the calculation gives 31.4 Å³/atom. The value obtained for the total DFT energy (no corrections) is -4.474 eV/atom.

The space group is Immm (No. 71) and the conventional cell measures 5.757, 7.360 and 17.808 Å, with angles of 90.00, 90.00 and 90.00 degrees. The distinct sites, in fractional coordinates, are Tb at (0.000, 0.000, 0.000), Tb at (0.000, 0.000, 0.320), Tb at (0.000, 0.500, 0.321), Ho at (0.000, 0.248, 0.500), Ho at (0.000, 0.252, 0.153) and Tm at (0.000, 0.500, 0.000).

***

# 2
A geometry-optimized CaCd2Cu structure, computed with PBE.

The value obtained for the formation energy from the elements is -0.085 eV/atom. For the volume, the calculation gives 23.3 Å³/atom. The value obtained for the total DFT energy (no corrections) is -2.067 eV/atom.

The space group is P2/m (No. 10) and the conventional cell measures 3.651, 4.623 and 5.700 Å, with angles of 90.00, 104.44 and 90.00 degrees. The distinct sites, in fractional coordinates, are Ca at (0.000, 0.000, 0.000), Cd at (0.367, 0.500, 0.720) and Cu at (0.500, 0.000, 0.500).

***

# 3
A geometry-optimized Tb2Dy5Tm structure, computed with PBE.

The calculation puts the energy above the most stable polymorph in this dataset at 0 meV per atom. The value obtained for the formation energy from the elements is 0.016 eV/atom. For the volume, the calculation gives 31.2 Å³/atom. The value obtained for the total DFT energy (no corrections) is -4.577 eV/atom.

The space group is Pbam (No. 55) and the conventional cell measures 7.068, 14.138 and 4.989 Å, with angles of 90.00, 90.00 and 90.00 degrees. The distinct sites, in fractional coordinates, are Tb at (0.249, 0.125, 0.000), Dy at (0.000, 0.500, 0.500), Dy at (0.001, 0.750, 0.500), Dy at (0.250, 0.375, 0.000) and Tm at (0.000, 0.000, 0.500).

***

# 4
A geometry-optimized UTiIr structure, computed with PBE.

The value obtained for the formation energy from the elements is -0.212 eV/atom. For the volume, the calculation gives 18.3 Å³/atom. The value obtained for the total DFT energy (no corrections) is -9.560 eV/atom.

The space group is P4/nmm (No. 129, origin choice 2) and the conventional cell measures 3.717, 3.717 and 7.935 Å, with angles of 90.00, 90.00 and 90.00 degrees. The distinct sites, in fractional coordinates, are U at (0.250, 0.750, 0.000), Ti at (0.250, 0.250, 0.376) and Ir at (0.250, 0.250, 0.693).

***

# 5
A geometry-optimized NbMo structure, computed with PBE.

The value obtained for the formation energy from the elements is 0.950 eV/atom. For the volume, the calculation gives 19.0 Å³/atom. The value obtained for the total DFT energy (no corrections) is -9.501 eV/atom.

The space group is Fm-3m (No. 225) and the conventional cell measures 5.332, 5.332 and 5.332 Å, with angles of 90.00, 90.00 and 90.00 degrees. The distinct sites, in fractional coordinates, are Nb at (0.000, 0.000, 0.000) and Mo at (0.000, 0.000, 0.500).

***

# 6
A geometry-optimized Sc2CrOs structure, computed with PBE.

The calculation puts the energy above the most stable polymorph in this dataset at 207 meV per atom. The value obtained for the formation energy from the elements is 0.063 eV/atom. For the volume, the calculation gives 17.4 Å³/atom. The value obtained for the total DFT energy (no corrections) is -8.316 eV/atom.

The space group is Pm (No. 6) and the conventional cell measures 3.060, 4.136 and 5.662 Å, with angles of 90.00, 103.34 and 90.00 degrees. The distinct sites, in fractional coordinates, are Sc at (0.000, 0.000, 0.000), Sc at (0.262, 0.500, 0.675), Cr at (0.694, 0.500, 0.242) and Os at (0.574, 0.000, 0.436).

***

# 7
A geometry-optimized ZnInB structure, computed with PBE.

The value obtained for the formation energy from the elements is 0.271 eV/atom. For the volume, the calculation gives 17.0 Å³/atom. The value obtained for the total DFT energy (no corrections) is -3.292 eV/atom.

The space group is P1 (No. 1) and the conventional cell measures 3.113, 3.646 and 9.280 Å, with angles of 78.70, 81.29 and 87.73 degrees. The distinct sites, in fractional coordinates, are Zn at (0.000, 0.000, 0.000), Zn at (0.401, 0.415, 0.166), In at (0.060, 0.168, 0.647), In at (0.776, 0.811, 0.370), B at (0.474, 0.539, 0.907) and B at (0.996, 0.569, 0.856).

***

# 8
A geometry-optimized Ba2TlPd2O6 structure, computed with PBE.

For the volume, the calculation gives 18.0 Å³/atom. The value obtained for the total DFT energy (no corrections) is -5.286 eV/atom.

The space group is R-3m (No. 166, hexagonal axes) and the conventional cell measures 6.1943, 6.1943 and 17.8954 Å, with angles of 90.00, 90.00 and 120.00 degrees. The distinct sites, in fractional coordinates, are Ba at (0.0000, 0.0000, 0.2160), Tl at (0.0000, 0.0000, 0.0000), Pd at (0.0000, 0.0000, 0.4163) and O at (0.0305, 0.5153, 0.7575).